1.
This record from Alexandria describes a relaxed CaY2Ti2 crystal. The functional is GGA-PBE.

Summary:
Total DFT energy (no corrections) in eV/atom: -5.574
ΔE_f in eV/atom: 0.570
D(E_F) in states/eV per atom: 2.00
Distance to the lowest polymorph of the same formula in meV per atom: 298
Symmetry: I4/mmm (139)

Lattice parameters (Å, degrees): 4.629 4.629 7.437 71.87 71.87 90.00
Atoms (fractional coordinates):
Y (0.250, 0.750, 0.500)
Y (0.750, 0.250, 0.500)
Ti (0.579, 0.579, 0.842)
Ti (0.421, 0.421, 0.158)
Ca (0.000, 0.000, 0.000)


2.
This record from Alexandria describes a relaxed LaSm2Co2 crystal. The functional is GGA-PBE.

Summary:
Total DFT energy (no corrections) in eV/atom: -5.798
ΔE_f in eV/atom: -0.083
D(E_F) in states/eV per atom: 0.90
Distance to the lowest polymorph of the same formula in meV per atom: 0
Symmetry: C2/c (15)

Lattice parameters (Å, degrees): 3.850 5.972 12.612 116.89 90.00 108.80
Atoms (fractional coordinates):
Sm (0.315, 0.630, 0.414)
Sm (0.315, 0.630, 0.914)
Sm (0.685, 0.370, 0.586)
Sm (0.685, 0.370, 0.086)
La (0.501, 0.000, 0.750)
La (0.499, 0.000, 0.250)
Co (0.968, 0.935, 0.578)
Co (0.967, 0.935, 0.078)
Co (0.032, 0.065, 0.422)
Co (0.033, 0.065, 0.922)


3.
This record from Alexandria describes a relaxed Ba7Au6 crystal. The functional is GGA-PBE.

Summary:
Total DFT energy (no corrections) in eV/atom: -2.636
ΔE_f in eV/atom: -0.088
D(E_F) in states/eV per atom: 0.70
Symmetry: R-3m (166)

Lattice parameters (Å, degrees): 10.083 10.083 10.083 49.01 49.01 49.01
Last column: magnetic moment on the atom in μB.
Atoms (fractional coordinates):
Ba (0.405, 0.947, 0.405)  0.06
Ba (0.947, 0.405, 0.405)  0.06
Ba (0.405, 0.405, 0.947)  0.06
Ba (0.595, 0.595, 0.053)  0.06
Ba (0.595, 0.053, 0.595)  0.06
Ba (0.500, 0.500, 0.500)  0.38
Ba (0.053, 0.595, 0.595)  0.06
Au (0.948, 0.948, 0.948)  0.01
Au (0.657, 0.657, 0.657)  0.00
Au (0.343, 0.343, 0.343)  0.00
Au (0.052, 0.052, 0.052)  0.01
Au (0.157, 0.157, 0.157)  0.01
Au (0.843, 0.843, 0.843)  0.01


4.
This record from Alexandria describes a relaxed UPaAs2 crystal. The functional is GGA-PBE.

Summary:
Total DFT energy (no corrections) in eV/atom: -8.270
ΔE_f in eV/atom: -0.750
D(E_F) in states/eV per atom: 1.71
Distance to the lowest polymorph of the same formula in meV per atom: 137
Symmetry: R3m (160)

Lattice parameters (Å, degrees): 3.923 3.923 7.661 75.16 75.16 60.00
Last column: magnetic moment on the atom in μB.
Atoms (fractional coordinates):
Pa (0.669, 0.669, 0.992)  0.06
As (0.251, 0.251, 0.247)  -0.05
As (0.083, 0.083, 0.752)  -0.04
U (0.497, 0.497, 0.509)  2.39


Mass density (g cm⁻³)
3.6 7.7 6.6 10.5